Entry 1:
This record from the Alexandria database describes a geometry-optimized Ta3MnTe structure. The functional is GGA-PBE.

Unit cell a=4.664 b=4.664 c=4.664 alpha=90.00 beta=90.00 gamma=90.00
Space group Pm-3m (No. 221)
Asymmetric unit:
Ta 0.000 0.000 0.500 [3 per cell]
Mn 0.000 0.000 0.000 [1 per cell]
Te 0.500 0.500 0.500 [1 per cell]

DOS(E_F) = 5.68 states/eV/f.u.
Formation energy without anion corrections = 3.7 eV/f.u.
Spin magnetization = 0.00 μB per formula unit

=====

Entry 2:
This record from the Alexandria database describes a geometry-optimized TaMnTe2 structure. The functional is GGA-PBE.

Unit cell a=3.826 b=3.828 c=7.254 alpha=90.00 beta=90.07 gamma=90.00
Space group Pm (No. 6)
Asymmetric unit:
Ta 0.000 0.000 0.000 [1 per cell]
Mn 0.500 0.500 0.000 [1 per cell]
Te 0.001 0.500 0.273 [1 per cell]
Te 0.499 0.000 0.727 [1 per cell]

DOS(E_F) = 1.88 states/eV/f.u.
Formation energy without anion corrections = -0.5 eV/f.u.
Spin magnetization = 1.30 μB per formula unit

=====

Entry 3:
This record from the Alexandria database describes a geometry-optimized TaMn2Te structure. The functional is GGA-PBE.

Unit cell a=4.056 b=4.056 c=17.509 alpha=90.00 beta=90.00 gamma=90.00
Space group I-42d (No. 122)
Asymmetric unit:
Ta 0.000 0.000 0.000 [4 per cell]
Mn 0.249 0.250 0.625 [8 per cell]
Te 0.000 0.000 0.500 [4 per cell]

DOS(E_F) = 3.11 states/eV/f.u.
Formation energy without anion corrections = 2.5 eV/f.u.
Spin magnetization = 4.19 μB per formula unit

=====

Entry 4:
This record from the Alexandria database describes a geometry-optimized TaMn2Te structure. The functional is GGA-PBE.

Unit cell a=6.405 b=6.405 c=6.405 alpha=90.00 beta=90.00 gamma=90.00
Space group F-43m (No. 216)
Asymmetric unit:
Ta 0.000 0.000 0.000 [4 per cell]
Mn 0.000 0.000 0.500 [4 per cell]
Mn 0.250 0.250 0.750 [4 per cell]
Te 0.250 0.250 0.250 [4 per cell]

DOS(E_F) = 4.36 states/eV/f.u.
Formation energy without anion corrections = 1.6 eV/f.u.
Spin magnetization = 4.95 μB per formula unit

=====

Entry 5:
This record from the Alexandria database describes a geometry-optimized TaMnTe2 structure. The functional is GGA-PBE.

Unit cell a=8.452 b=3.562 c=7.216 alpha=90.00 beta=100.64 gamma=90.00
Space group Cm (No. 8)
Asymmetric unit:
Ta 0.000 0.000 0.000 [2 per cell]
Mn 0.265 0.000 0.866 [2 per cell]
Te 0.021 0.500 0.695 [2 per cell]
Te 0.236 0.500 0.199 [2 per cell]

DOS(E_F) = 2.88 states/eV/f.u.
Formation energy without anion corrections = 0.1 eV/f.u.
Spin magnetization = 2.55 μB per formula unit

=====

Entry 6:
This record from the Alexandria database describes a geometry-optimized TaMnTe2 structure. The functional is GGA-PBE.

Unit cell a=3.3929 b=3.3929 c=30.1222 alpha=90.00 beta=90.00 gamma=120.00
Space group R3m (No. 160, hexagonal axes)
Asymmetric unit:
Ta 0.0000 0.0000 0.0000 [3 per cell]
Mn 0.0000 0.0000 0.7285 [3 per cell]
Te 0.0000 0.0000 0.2661 [3 per cell]
Te 0.0000 0.0000 0.4564 [3 per cell]

DOS(E_F) = 1.63 states/eV/f.u.
Formation energy without anion corrections = 0.2 eV/f.u.
Spin magnetization = 2.30 μB per formula unit

=====

Question: What is the formula in the first record?
Answer: Ta3MnTe